Density functional theory data (PBE) for crystalline LaMg2As at its relaxed geometry.

Values from the calculation:
As for the space group: P4/mmm. As for the spin magnetization: 0.0 μB per formula unit. The formation energy from the elements comes out at -0.265 eV/atom.

Cell lengths 3.5898, 3.5898, 7.7176 Å; angles 90.00, 90.00, 90.00 degrees
Closest atoms and distances in Å follow each position.
Fractional positions:
1 La 0.0000 0.0000 0.0000  8 Mg 3.49, 4 La 3.59, 2 As 3.86
2 Mg 0.5000 0.5000 0.3111  1 Mg 2.92, 4 As 2.93
3 Mg 0.5000 0.5000 0.6889  1 Mg 2.92, 4 As 2.93
4 As 0.0000 0.0000 0.5000  8 Mg 2.93

***

Density functional theory data (PBE) for crystalline LaMgAs at its relaxed geometry.

Values from the calculation:
As for the space group: P2_1/m. The distance to the lowest polymorph of the same formula is 0 meV/atom. As for the spin magnetization: 0.0 μB per formula unit. The formation energy from the elements comes out at -0.859 eV/atom.

Cell lengths 4.1041, 4.5178, 8.7720 Å; angles 90.00, 90.24, 90.00 degrees
Closest atoms and distances in Å follow each position.
Fractional positions:
1 La 0.2486 0.2500 0.3406  5 As 3.07-3.09
2 La 0.7514 0.7500 0.6594  5 As 3.07-3.09
3 Mg 0.2505 0.7500 0.0402  2 As 3.10-3.13, 4 Mg 3.13, 2 La 3.47
4 Mg 0.7495 0.2500 0.9598  2 As 3.10-3.13, 4 Mg 3.13, 2 La 3.47
5 As 0.2516 0.2500 0.6926  5 La 3.07-3.09, 2 Mg 3.10-3.13
6 As 0.7484 0.7500 0.3074  5 La 3.07-3.09, 2 Mg 3.10-3.13

***

Density functional theory data (PBE) for crystalline LaMgAs at its relaxed geometry.

Values from the calculation:
As for the space group: I4mm. The distance to the lowest polymorph of the same formula is 299 meV/atom. As for the spin magnetization: 0.0 μB per formula unit. The formation energy from the elements comes out at -0.560 eV/atom.

Cell lengths 6.1350, 6.1350, 6.1350 Å; angles 144.81, 144.81, 50.62 degrees
Closest atoms and distances in Å follow each position.
Fractional positions:
1 La 0.0000 0.0000 0.0000  1 Mg 3.15, 4 As 3.24
2 Mg 0.2838 0.2838 0.0000  4 As 2.91, 1 La 3.15
3 As 0.6709 0.6709 0.0000  4 Mg 2.91, 4 La 3.24

***

Density functional theory data (PBE) for crystalline LaMg2As at its relaxed geometry.

Values from the calculation:
As for the space group: F-43m. As for the spin magnetization: 0.0 μB per formula unit. The formation energy from the elements comes out at -0.315 eV/atom.

Cell lengths 5.1868, 5.1868, 5.1868 Å; angles 60.00, 60.00, 60.00 degrees
Closest atoms and distances in Å follow each position.
Fractional positions:
1 La 0.0000 0.0000 0.0000  4 As 3.18, 4 Mg 3.18
2 Mg 0.5000 0.5000 0.5000  4 As 3.18, 4 Mg 3.18
3 Mg 0.7500 0.7500 0.7500  4 La 3.18, 4 Mg 3.18
4 As 0.2500 0.2500 0.2500  4 La 3.18, 4 Mg 3.18

***

Density functional theory data (PBE) for crystalline LaMgAs at its relaxed geometry.

Values from the calculation:
As for the space group: Fmm2. The distance to the lowest polymorph of the same formula is 261 meV/atom. As for the spin magnetization: 0.0 μB per formula unit. The formation energy from the elements comes out at -0.597 eV/atom.

Cell lengths 6.6943, 6.4786, 3.6847 Å; angles 77.01, 70.56, 32.43 degrees
Closest atoms and distances in Å follow each position.
Fractional positions:
1 La 0.0000 0.0000 0.0000  2 As 2.96
2 Mg 0.2792 0.2792 0.7208  2 As 2.78
3 As 0.6520 0.6520 0.3480  2 Mg 2.78, 2 La 2.96

***

Density functional theory data (PBE) for crystalline LaMgAs at its relaxed geometry.

Values from the calculation:
As for the space group: P-6m2. The distance to the lowest polymorph of the same formula is 23 meV/atom. As for the spin magnetization: 0.0 μB per formula unit. The formation energy from the elements comes out at -0.836 eV/atom.

Cell lengths 4.5051, 4.5051, 4.2390 Å; angles 90.00, 90.00, 120.00 degrees
Closest atoms and distances in Å follow each position.
Fractional positions:
1 La 0.0000 0.0000 0.0000  6 As 3.36, 6 Mg 3.36
2 Mg 0.6667 0.3333 0.5000  3 As 2.60
3 As 0.3333 0.6667 0.5000  3 Mg 2.60